1.
A geometry-optimized La6FeRh2 structure, computed with PBE-GGA.

CIF file:
```
data_La6FeRh2
_cell_length_a 6.8273
_cell_length_b 7.4910
_cell_length_c 12.1095
_cell_angle_alpha 90.00
_cell_angle_beta 121.52
_cell_angle_gamma 90.00
_symmetry_space_group_name_H-M 'P 1 21/c 1'
_symmetry_Int_Tables_number 14
loop_
_symmetry_equiv_pos_as_xyz
'x,y,z'
'-x,-y,-z'
'-x,y+1/2,-z+1/2'
'x,-y+1/2,z+1/2'
loop_
_atom_site_label
_atom_site_type_symbol
_atom_site_fract_x
_atom_site_fract_y
_atom_site_fract_z
La1 La 0.0863 0.0558 0.2454
La2 La 0.2456 0.6882 0.0750
La3 La 0.3845 0.1754 0.0648
Fe1 Fe 0.0000 0.0000 0.0000
Rh1 Rh 0.3178 0.1114 0.7715
```

**Total energy**: -0.4568 Ry per atom

=====

2.
A geometry-optimized LaFeRh2 structure, computed with PBE-GGA.

CIF file:
```
data_LaFeRh2
_cell_length_a 3.1525
_cell_length_b 3.1525
_cell_length_c 7.1373
_cell_angle_alpha 90.00
_cell_angle_beta 90.00
_cell_angle_gamma 90.00
_symmetry_space_group_name_H-M 'P 4/m m m'
_symmetry_Int_Tables_number 123
_symmetry_space_group_name_Hall '-P 4 2'
loop_
_atom_site_label
_atom_site_type_symbol
_atom_site_fract_x
_atom_site_fract_y
_atom_site_fract_z
La1 La 0.0000 0.0000 0.0000
Fe1 Fe 0.0000 0.0000 0.5000
Rh1 Rh 0.5000 0.5000 0.3037
```

**Energy above the most stable polymorph in this dataset**: 45 kJ/mol of formula units

=====

3.
A geometry-optimized LaFeRh2 structure, computed with PBE-GGA.

CIF file:
```
data_LaFeRh2
_cell_length_a 3.0008
_cell_length_b 3.0008
_cell_length_c 27.4605
_cell_angle_alpha 90.00
_cell_angle_beta 90.00
_cell_angle_gamma 120.00
_symmetry_space_group_name_H-M 'R 3 m'
_symmetry_Int_Tables_number 160
_symmetry_space_group_name_Hall 'R 3 -2"'
loop_
_atom_site_label
_atom_site_type_symbol
_atom_site_fract_x
_atom_site_fract_y
_atom_site_fract_z
La1 La 0.0000 0.0000 0.0000
Fe1 Fe 0.0000 0.0000 0.7657
Rh1 Rh 0.0000 0.0000 0.2419
Rh2 Rh 0.0000 0.0000 0.4969
```

**Energy above the most stable polymorph in this dataset**: 285 kJ/mol of formula units

=====

4.
A geometry-optimized LaFe2Rh structure, computed with PBE-GGA.

CIF file:
```
data_LaFe2Rh
_cell_length_a 7.3396
_cell_length_b 4.2379
_cell_length_c 5.5429
_cell_angle_alpha 90.00
_cell_angle_beta 116.07
_cell_angle_gamma 90.00
_symmetry_space_group_name_H-M 'C 1 2/m 1'
_symmetry_Int_Tables_number 12
loop_
_symmetry_equiv_pos_as_xyz
'x,y,z'
'-x,-y,-z'
'-x,y,-z'
'x,-y,z'
'x+1/2,y+1/2,z'
'-x+1/2,-y+1/2,-z'
'-x+1/2,y+1/2,-z'
'x+1/2,-y+1/2,z'
loop_
_atom_site_label
_atom_site_type_symbol
_atom_site_fract_x
_atom_site_fract_y
_atom_site_fract_z
La1 La 0.0000 0.0000 0.0000
Fe1 Fe 0.1871 0.0000 0.5615
Rh1 Rh 0.0000 0.5000 0.5000
```

**Total energy**: -0.5414 Ry per atom

=====

5.
A geometry-optimized LaFeRh structure, computed with PBE-GGA.

CIF file:
```
data_LaFeRh
_cell_length_a 6.5313
_cell_length_b 6.5313
_cell_length_c 6.5313
_cell_angle_alpha 90.00
_cell_angle_beta 90.00
_cell_angle_gamma 90.00
_symmetry_space_group_name_H-M 'F -4 3 m'
_symmetry_Int_Tables_number 216
_symmetry_space_group_name_Hall 'F -4 2 3'
loop_
_atom_site_label
_atom_site_type_symbol
_atom_site_fract_x
_atom_site_fract_y
_atom_site_fract_z
La1 La 0.0000 0.0000 0.0000
Fe1 Fe 0.0000 0.0000 0.5000
Rh1 Rh 0.2500 0.2500 0.7500
```

**Total energy**: -0.5008 Ry per atom

=====

6.
A geometry-optimized LaFe2Rh structure, computed with PBE-GGA.

CIF file:
```
data_LaFe2Rh
_cell_length_a 3.1353
_cell_length_b 3.1353
_cell_length_c 7.0405
_cell_angle_alpha 90.00
_cell_angle_beta 90.00
_cell_angle_gamma 90.00
_symmetry_space_group_name_H-M 'P 4 m m'
_symmetry_Int_Tables_number 99
loop_
_symmetry_equiv_pos_as_xyz
'x,y,z'
'-y,x,z'
'-x,-y,z'
'y,-x,z'
'-x,y,z'
'y,x,z'
'x,-y,z'
'-y,-x,z'
loop_
_atom_site_label
_atom_site_type_symbol
_atom_site_fract_x
_atom_site_fract_y
_atom_site_fract_z
La1 La 0.0000 0.0000 0.0000
Fe1 Fe 0.0000 0.0000 0.5129
Fe2 Fe 0.5000 0.5000 0.6848
Rh1 Rh 0.5000 0.5000 0.3132
```

**Total energy**: -0.5299 Ry per atom

=====

7.
A geometry-optimized La2FeRh structure, computed with PBE-GGA.

CIF file:
```
data_La2FeRh
_cell_length_a 3.9398
_cell_length_b 3.9398
_cell_length_c 22.4859
_cell_angle_alpha 90.00
_cell_angle_beta 90.00
_cell_angle_gamma 120.00
_symmetry_space_group_name_H-M 'R -3 m'
_symmetry_Int_Tables_number 166
_symmetry_space_group_name_Hall '-R 3 2"'
loop_
_atom_site_label
_atom_site_type_symbol
_atom_site_fract_x
_atom_site_fract_y
_atom_site_fract_z
La1 La 0.0000 0.0000 0.2461
Fe1 Fe 0.0000 0.0000 0.0000
Rh1 Rh 0.0000 0.0000 0.5000
```

**Energy above the most stable polymorph in this dataset**: 93 kJ/mol of formula units

=====

8.
A geometry-optimized LaFe2Rh structure, computed with PBE-GGA.

CIF file:
```
data_LaFe2Rh
_cell_length_a 3.8122
_cell_length_b 3.9891
_cell_length_c 9.3437
_cell_angle_alpha 90.00
_cell_angle_beta 90.00
_cell_angle_gamma 90.00
_symmetry_space_group_name_H-M 'I m m m'
_symmetry_Int_Tables_number 71
_symmetry_space_group_name_Hall '-I 2 2'
loop_
_atom_site_label
_atom_site_type_symbol
_atom_site_fract_x
_atom_site_fract_y
_atom_site_fract_z
La1 La 0.0000 0.0000 0.0000
Fe1 Fe 0.0000 0.5000 0.2469
Rh1 Rh 0.0000 0.0000 0.5000
```

**Total energy**: -0.5262 Ry per atom

=====

9.
A geometry-optimized LaFeRh2 structure, computed with PBE-GGA.

CIF file:
```
data_LaFeRh2
_cell_length_a 4.0580
_cell_length_b 4.0580
_cell_length_c 8.5969
_cell_angle_alpha 90.00
_cell_angle_beta 90.00
_cell_angle_gamma 90.00
_symmetry_space_group_name_H-M 'I -4 m 2'
_symmetry_Int_Tables_number 119
_symmetry_space_group_name_Hall 'I -4 -2'
loop_
_atom_site_label
_atom_site_type_symbol
_atom_site_fract_x
_atom_site_fract_y
_atom_site_fract_z
La1 La 0.0000 0.0000 0.0000
Fe1 Fe 0.0000 0.5000 0.2500
Rh1 Rh 0.0000 0.0000 0.5000
Rh2 Rh 0.0000 0.5000 0.7500
```

**Energy above the most stable polymorph in this dataset**: 90 kJ/mol of formula units

=====

10.
A geometry-optimized LaFeRh structure, computed with PBE-GGA.

CIF file:
```
data_LaFeRh
_cell_length_a 4.1519
_cell_length_b 4.1519
_cell_length_c 4.3039
_cell_angle_alpha 90.00
_cell_angle_beta 90.00
_cell_angle_gamma 120.00
_symmetry_space_group_name_H-M 'P -6 m 2'
_symmetry_Int_Tables_number 187
_symmetry_space_group_name_Hall 'P -6 2'
loop_
_atom_site_label
_atom_site_type_symbol
_atom_site_fract_x
_atom_site_fract_y
_atom_site_fract_z
La1 La 0.0000 0.0000 0.0000
Fe1 Fe 0.3333 0.6667 0.5000
Rh1 Rh 0.6667 0.3333 0.5000
```

**Total energy**: -0.5268 Ry per atom

=====

11.
A geometry-optimized LaFeRhSe2 structure, computed with PBE-GGA.

CIF file:
```
data_LaFeRhSe2
_cell_length_a 4.7671
_cell_length_b 4.7671
_cell_length_c 4.6693
_cell_angle_alpha 90.00
_cell_angle_beta 90.00
_cell_angle_gamma 90.00
_symmetry_space_group_name_H-M 'P 4/m m m'
_symmetry_Int_Tables_number 123
_symmetry_space_group_name_Hall '-P 4 2'
loop_
_atom_site_label
_atom_site_type_symbol
_atom_site_fract_x
_atom_site_fract_y
_atom_site_fract_z
La1 La 0.0000 0.0000 0.0000
Fe1 Fe 0.5000 0.5000 0.5000
Rh1 Rh 0.5000 0.5000 0.0000
Se1 Se 0.0000 0.5000 0.5000
```

**Energy relative to the elements, uncorrected**: -2.55 eV per formula unit

=====

12.
A geometry-optimized LaFeSi2Rh structure, computed with PBE-GGA.

CIF file:
```
data_LaFeSi2Rh
_cell_length_a 4.1112
_cell_length_b 4.1112
_cell_length_c 10.0972
_cell_angle_alpha 90.00
_cell_angle_beta 90.00
_cell_angle_gamma 90.00
_symmetry_space_group_name_H-M 'I -4 m 2'
_symmetry_Int_Tables_number 119
_symmetry_space_group_name_Hall 'I -4 -2'
loop_
_atom_site_label
_atom_site_type_symbol
_atom_site_fract_x
_atom_site_fract_y
_atom_site_fract_z
La1 La 0.0000 0.0000 0.0000
Fe1 Fe 0.0000 0.5000 0.7500
Si1 Si 0.0000 0.0000 0.3651
Rh1 Rh 0.0000 0.5000 0.2500
```

**Energy relative to the elements, uncorrected**: -4.20 eV per formula unit

=====

13.
A geometry-optimized LaFeSi3Rh structure, computed with PBE-GGA.

CIF file:
```
data_LaFeSi3Rh
_cell_length_a 7.0476
_cell_length_b 11.1889
_cell_length_c 5.6218
_cell_angle_alpha 90.00
_cell_angle_beta 90.00
_cell_angle_gamma 90.00
_symmetry_space_group_name_H-M 'C m c m'
_symmetry_Int_Tables_number 63
_symmetry_space_group_name_Hall '-C 2c 2'
loop_
_atom_site_label
_atom_site_type_symbol
_atom_site_fract_x
_atom_site_fract_y
_atom_site_fract_z
La1 La 0.0000 0.2445 0.2500
Fe1 Fe 0.0000 0.0474 0.7500
Si1 Si 0.0000 0.2343 0.7500
Si2 Si 0.2433 0.0000 0.0000
Rh1 Rh 0.0000 0.4319 0.7500
```

**Energy relative to the elements, uncorrected**: -3.15 eV per formula unit

=====

14.
A geometry-optimized SrLa2FeRh structure, computed with PBE-GGA.

CIF file:
```
data_SrLa2FeRh
_cell_length_a 5.4308
_cell_length_b 5.4308
_cell_length_c 5.7562
_cell_angle_alpha 90.00
_cell_angle_beta 90.00
_cell_angle_gamma 90.00
_symmetry_space_group_name_H-M 'P 4/m m m'
_symmetry_Int_Tables_number 123
_symmetry_space_group_name_Hall '-P 4 2'
loop_
_atom_site_label
_atom_site_type_symbol
_atom_site_fract_x
_atom_site_fract_y
_atom_site_fract_z
Sr1 Sr 0.0000 0.0000 0.0000
La1 La 0.0000 0.5000 0.5000
Fe1 Fe 0.5000 0.5000 0.0000
Rh1 Rh 0.0000 0.0000 0.5000
```

**Total energy**: -0.3660 Ry per atom

=====

| no. | spin magnetization (μB per formula unit) | V (Å³ per cell) |
| --- | --- | --- |
| 1 | 0.00 | 528.0 |
| 2 | 3.98 | 70.9 |
| 3 | 2.46 | 214.2 |
| 4 | 3.68 | 154.9 |
| 5 | 3.44 | 278.6 |
| 6 | 5.53 | 69.2 |
| 7 | 1.68 | 302.3 |
| 8 | 5.95 | 142.1 |
| 9 | 3.37 | 141.6 |
| 10 | 2.15 | 64.3 |
| 11 | 3.15 | 106.1 |
| 12 | 0.00 | 170.7 |
| 13 | 0.19 | 443.3 |
| 14 | 0.07 | 169.8 |